DFT (PBE) results for a relaxed Ca4GaN crystal.

Unit cell a=6.229 b=7.084 c=8.065 alpha=106.06 beta=112.50 gamma=90.03
Space group P-1 (No. 2)
One atom of each set of equivalent atoms:
1 Ca 0.014 0.054 0.301
2 Ca 0.216 0.445 0.698
3 Ca 0.255 0.333 0.120
4 Ca 0.365 0.833 0.120
5 Ga 0.351 0.751 0.501
6 N 0.000 0.000 0.000
7 N 0.500 0.500 0.000

**Calculated density**: 2.584 Mg/m³
**Calculated volume**: 313.69 Å³/cell
**DOS at the Fermi energy**: 0.517 states/eV/atom
**Raw total energy**: -43.87 eV per cell

DFT (PBE) results for a relaxed KPb2Cl crystal.

Unit cell a=3.707 b=3.707 c=9.489 alpha=90.00 beta=90.00 gamma=90.00
Space group P4mm (No. 99)
One atom of each set of equivalent atoms:
1 K 0.000 0.000 0.000
2 Pb 0.000 0.000 0.569
3 Pb 0.500 0.500 0.335
4 Cl 0.500 0.500 0.847

**Calculated density**: 6.226 Mg/m³
**Calculated volume**: 130.41 Å³/cell
**DOS at the Fermi energy**: 0.249 states/eV/atom
**Raw total energy**: -13.19 eV per cell